1.
GaGeSe | PBE | optimized geometry

Cell: 14.113 3.970 5.780 Å, 90.00 104.56 90.00°
Space group C2/m (No. 12)
Symmetry-distinct sites (fractional):
Ga (0.090, 0.000, 0.007) x4
Ge (0.233, 0.000, 0.367) x4
Se (0.109, 0.500, 0.749) x4

Properties
total moment = 0.000 μB/f.u.
uncorrected formation energy = -0.8 eV/f.u.
electronic total energy = -47.7 eV per cell
calculated volume = 313 Å³/cell


2.
UGePd | PBE | optimized geometry

Cell: 4.0102 4.0102 25.4289 Å, 90.00 90.00 120.00°
Space group R-3m (No. 166, hexagonal axes)
Symmetry-distinct sites (fractional):
U (0.0000, 0.0000, 0.1414) x6
Ge (0.0000, 0.0000, 0.3659) x6
Pd (0.0000, 0.0000, 0.2629) x6

Properties
total moment = 0.006 μB/f.u.
formation enthalpy at 0 K = -169 meV per atom
electronic total energy = -129.6 eV per cell
calculated volume = 354 Å³/cell


3.
ZrBi2Pd | PBE | optimized geometry

Cell: 3.3821 3.3821 30.8291 Å, 90.00 90.00 120.00°
Space group R-3m (No. 166, hexagonal axes)
Symmetry-distinct sites (fractional):
Zr (0.0000, 0.0000, 0.0000) x3
Bi (0.0000, 0.0000, 0.4135) x6
Pd (0.0000, 0.0000, 0.5000) x3

Properties
total moment = 0.000 μB/f.u.
formation enthalpy at 0 K = 8 meV per atom
electronic total energy = -64.4 eV per cell
calculated volume = 305 Å³/cell


4.
Ni5SnPt8 | PBE | optimized geometry

Cell: 7.447 7.447 7.693 Å, 90.00 90.00 90.00°
Space group I-4 (No. 82)
Symmetry-distinct sites (fractional):
Ni (0.000, 0.000, 0.000) x2
Ni (0.123, 0.209, 0.582) x8
Sn (0.000, 0.500, 0.250) x2
Pt (0.069, 0.331, 0.910) x8
Pt (0.101, 0.165, 0.257) x8

Properties
total moment = 4.761 μB/f.u.
formation enthalpy at 0 K = 48 meV per atom
electronic total energy = -161.1 eV per cell
calculated volume = 427 Å³/cell


5.
CeSmGdPa | PBE | optimized geometry

Cell: 7.868 7.868 7.868 Å, 90.00 90.00 90.00°
Space group F-43m (No. 216)
Symmetry-distinct sites (fractional):
Ce (0.000, 0.000, 0.000) x4
Sm (0.250, 0.250, 0.750) x4
Gd (0.000, 0.000, 0.500) x4
Pa (0.250, 0.250, 0.250) x4

Properties
total moment = 11.543 μB/f.u.
formation enthalpy at 0 K = 370 meV per atom
electronic total energy = -131.0 eV per cell
calculated volume = 487 Å³/cell


6.
Sn6IrAu3 | PBE | optimized geometry

Cell: 7.154 6.720 11.887 Å, 90.00 124.33 90.00°
Space group P2_1/c (No. 14)
Symmetry-distinct sites (fractional):
Sn (0.084, 0.161, 0.417) x4
Sn (0.257, 0.624, 0.409) x4
Sn (0.399, 0.554, 0.738) x4
Ir (0.000, 0.000, 0.000) x2
Au (0.192, 0.179, 0.715) x4
Au (0.500, 0.000, 0.500) x2

Properties
total moment = 0.000 μB/f.u.
formation enthalpy at 0 K = -149 meV per atom
electronic total energy = -88.4 eV per cell
calculated volume = 472 Å³/cell


7.
PtWAu2 | PBE | optimized geometry

Cell: 6.439 6.439 6.439 Å, 90.00 90.00 90.00°
Space group Fm-3m (No. 225)
Symmetry-distinct sites (fractional):
Pt (0.000, 0.000, 0.000) x4
W (0.000, 0.000, 0.500) x4
Au (0.250, 0.250, 0.250) x8

Properties
total moment = 0.000 μB/f.u.
formation enthalpy at 0 K = 371 meV per atom
electronic total energy = -96.3 eV per cell
calculated volume = 267 Å³/cell


8.
Pm2Zn3Ga5 | PBE | optimized geometry

Cell: 10.724 11.979 5.964 Å, 90.00 90.00 90.00°
Space group Ibam (No. 72)
Symmetry-distinct sites (fractional):
Pm (0.248, 0.126, 0.000) x8
Zn (0.000, 0.500, 0.250) x4
Zn (0.133, 0.127, 0.500) x8
Ga (0.000, 0.000, 0.250) x4
Ga (0.000, 0.254, 0.250) x8
Ga (0.141, 0.380, 0.000) x8

Properties
total moment = 0.000 μB/f.u.
formation enthalpy at 0 K = -472 meV per atom
electronic total energy = -132.7 eV per cell
calculated volume = 766 Å³/cell


9.
SrLiZn2Ag4 | PBE | optimized geometry

Cell: 4.5612 4.5612 26.7314 Å, 90.00 90.00 120.00°
Space group R-3m (No. 166, hexagonal axes)
Symmetry-distinct sites (fractional):
Sr (0.0000, 0.0000, 0.0000) x3
Li (0.0000, 0.0000, 0.5000) x3
Zn (0.0000, 0.0000, 0.2365) x6
Ag (0.0000, 0.0000, 0.1319) x6
Ag (0.0000, 0.0000, 0.4061) x6

Properties
total moment = 0.000 μB/f.u.
formation enthalpy at 0 K = -169 meV per atom
electronic total energy = -56.7 eV per cell
calculated volume = 482 Å³/cell


10.
PrDyInSn | PBE | optimized geometry

Cell: 7.684 7.684 7.684 Å, 90.00 90.00 90.00°
Space group F-43m (No. 216)
Symmetry-distinct sites (fractional):
Pr (0.000, 0.000, 0.000) x4
Dy (0.000, 0.000, 0.500) x4
In (0.250, 0.250, 0.750) x4
Sn (0.250, 0.250, 0.250) x4

Properties
total moment = 0.000 μB/f.u.
formation enthalpy at 0 K = -514 meV per atom
electronic total energy = -72.7 eV per cell
calculated volume = 454 Å³/cell


11.
PmSm2Cd | PBE | optimized geometry

Cell: 7.849 7.849 7.849 Å, 90.00 90.00 90.00°
Space group Fm-3m (No. 225)
Symmetry-distinct sites (fractional):
Pm (0.000, 0.000, 0.000) x4
Sm (0.250, 0.250, 0.250) x8
Cd (0.000, 0.000, 0.500) x4

Properties
total moment = 0.002 μB/f.u.
formation enthalpy at 0 K = -17 meV per atom
electronic total energy = -60.7 eV per cell
calculated volume = 484 Å³/cell


12.
Si2H5 | PBE | optimized geometry

Cell: 3.9463 3.9463 12.9074 Å, 90.00 90.00 120.00°
Space group R-3m (No. 166, hexagonal axes)
Symmetry-distinct sites (fractional):
Si (0.0000, 0.0000, 0.1381) x6
H (0.0000, 0.0000, 0.0000) x3
H (0.0000, 0.0000, 0.3200) x6
H (0.0000, 0.0000, 0.3796) x6

Properties
total moment = 0.000 μB/f.u.
electronic total energy = -78.0 eV per cell
calculated volume = 174 Å³/cell